1.
Material: Rb3Pm3HoSe8
Method: DFT, GGA-PBE
State: relaxed

Cell lengths 14.788, 8.531, 9.558 Å; angles 90.00, 121.10, 90.00 degrees
Space group C2/m (No. 12)
Asymmetric unit:
Rb  0.000  0.000  0.000
Rb  0.250  0.250  0.000
Pm  0.000  0.500  0.500
Pm  0.250  0.250  0.500
Ho  0.000  0.000  0.500
Se  0.017  0.244  0.306
Se  0.228  0.000  0.694
Se  0.233  0.500  0.700

Results
E_tot = -148.95 eV per cell
formation energy (no corrections) = -38.23 kcal/mol of atoms

---

2.
Material: NaNiH3
Method: DFT, GGA-PBE
State: relaxed

Cell lengths 2.673, 21.796, 4.522 Å; angles 90.00, 90.00, 90.00 degrees
Space group Cmcm (No. 63)
Asymmetric unit:
Na  0.000  0.097  0.250
Ni  0.000  0.480  0.250
H  0.000  0.000  0.000
H  0.140  0.243  0.750

Results
E_tot = -66.68 eV per cell